# 1
RbAgSnAu | the Alexandria database | PBE | relaxed; ΔE_f = -0.7 eV per formula unit; N(E_F) = 1.9 states/eV/f.u.
1.0
4.162 -2.394 0.000
4.162 2.394 0.000
-2.793 0.000 6.551
Rb Ag Sn Au
1 1 1 1
Cartesian
0.000 0.000 0.000 Rb
5.540 0.000 2.846 Ag
2.764 0.000 3.889 Sn
-0.012 0.000 3.407 Au


# 2
Co5W3 | the Alexandria database | PBE | relaxed; ΔE_f = 2.0 eV per formula unit; energy above the most stable polymorph in this dataset = 207 meV/atom; N(E_F) = 9.2 states/eV/f.u.
1.0
5.817 0.000 0.000
0.000 4.647 0.000
-2.115 0.000 7.817
Co W
10 6
Cartesian
-0.371 1.162 1.719 Co
-1.378 1.162 7.319 Co
1.223 3.485 2.138 Co
0.378 0.005 5.635 Co
0.378 2.318 5.635 Co
3.323 2.329 2.182 Co
3.323 4.642 2.182 Co
2.479 1.162 5.679 Co
5.079 3.485 0.499 Co
4.072 3.485 6.098 Co
-0.676 3.485 3.446 W
2.206 3.485 0.021 W
1.380 1.162 3.350 W
2.321 3.485 4.468 W
1.495 1.162 7.796 W
4.377 1.162 4.372 W


# 3
Lu4CoSn8 | the Alexandria database | PBE | relaxed; ΔE_f = -5.7 eV per formula unit; N(E_F) = 6.4 states/eV/f.u.
1.0
4.377 0.000 0.000
0.000 4.390 0.000
0.000 0.000 16.390
Lu Co Sn
4 1 8
Cartesian
0.000 0.000 0.000 Lu
0.000 2.195 8.046 Lu
2.189 0.000 12.945 Lu
2.189 2.195 4.872 Lu
0.000 2.195 11.542 Co
0.000 0.000 5.370 Sn
0.000 0.000 10.349 Sn
0.000 2.195 2.416 Sn
0.000 2.195 13.976 Sn
2.189 0.000 2.466 Sn
2.189 0.000 7.472 Sn
2.189 2.195 10.345 Sn
2.189 2.195 15.971 Sn


| no. | M_tot (Bohr magnetons per cell) |
| --- | --- |
| 1 | 0.00 |
| 2 | 5.33 |
| 3 | 0.00 |